Compound: Pr4TmTl
Source: the Alexandria database
Functional: PBE-GGA
Structure: relaxed

VASP energy = -4.3851 eV per atom
E above lowest polymorph = 0 meV per atom
space group = No. 123

```
Pr4TmTl
1.0
4.1989 0.0000 0.0000
0.0000 4.1989 0.0000
0.0000 0.0000 11.2658
Pr Tm Tl
4 1 1
Direct
0.0000 0.0000 0.1471 Pr
0.0000 0.0000 0.8529 Pr
0.5000 0.5000 0.3362 Pr
0.5000 0.5000 0.6638 Pr
0.0000 0.0000 0.5000 Tm
0.5000 0.5000 0.0000 Tl
```

=====

Compound: NdSmY2
Source: the Alexandria database
Functional: PBE-GGA
Structure: relaxed

VASP energy = -5.5840 eV per atom
E above lowest polymorph = 9 meV per atom
space group = No. 123

```
NdSmY2
1.0
5.1257 0.0000 0.0000
0.0000 5.1257 0.0000
0.0000 0.0000 5.0756
Nd Sm Y
1 1 2
Direct
0.0000 0.0000 0.0000 Nd
0.5000 0.5000 0.0000 Sm
0.0000 0.5000 0.5000 Y
0.5000 0.0000 0.5000 Y
```

=====

Compound: La4PBr2N
Source: the Alexandria database
Functional: PBE-GGA
Structure: relaxed

raw formation energy = -1.501 eV/atom
VASP energy = -6.0999 eV per atom
space group = No. 10

```
La4PBr2N
1.0
7.0618 0.0000 0.0000
0.0000 4.0115 0.0000
-2.3208 0.0000 7.4615
La P Br N
4 1 2 1
Direct
0.2057 0.0000 0.1876 La
0.2352 0.5000 0.8049 La
0.7648 0.5000 0.1951 La
0.7943 0.0000 0.8124 La
0.5000 0.0000 0.0000 P
0.0000 0.0000 0.5000 Br
0.5000 0.5000 0.5000 Br
0.0000 0.5000 0.0000 N
```

=====

Compound: ZnPtI3
Source: the Alexandria database
Functional: PBE-GGA
Structure: relaxed

raw formation energy = 0.735 eV/atom
VASP energy = -1.6585 eV per atom
E above lowest polymorph = 526 meV per atom
space group = No. 221

```
ZnPtI3
1.0
5.4874 0.0000 0.0000
0.0000 5.4874 0.0000
0.0000 0.0000 5.4874
Zn Pt I
1 1 3
Direct
0.0000 0.0000 0.0000 Zn
0.5000 0.5000 0.5000 Pt
0.0000 0.0000 0.5000 I
0.0000 0.5000 0.0000 I
0.5000 0.0000 0.0000 I
```

=====

Compound: Ac2ZnRh2
Source: the Alexandria database
Functional: PBE-GGA
Structure: relaxed

VASP energy = -5.3817 eV per atom
E above lowest polymorph = 72 meV per atom
space group = No. 72

```
Ac2ZnRh2
1.0
-3.6591 5.8682 2.9800
3.6591 -5.8682 2.9800
3.6591 5.8682 -2.9800
Ac Zn Rh
4 2 4
Direct
0.1434 0.1738 0.3172 Ac
0.3566 0.6738 0.0304 Ac
0.6434 0.3262 0.9696 Ac
0.8566 0.8262 0.6828 Ac
0.2500 0.7500 0.5000 Zn
0.7500 0.2500 0.5000 Zn
0.1096 0.7371 0.8468 Rh
0.3904 0.2371 0.6275 Rh
0.6096 0.7629 0.3725 Rh
0.8904 0.2629 0.1532 Rh
```

=====

Compound: Hf2TlZn
Source: the Alexandria database
Functional: PBE-GGA
Structure: relaxed

VASP energy = -5.8850 eV per atom
E above lowest polymorph = 9 meV per atom
space group = No. 123

```
Hf2TlZn
1.0
4.3605 0.0000 0.0000
0.0000 4.3605 0.0000
0.0000 0.0000 4.2668
Hf Tl Zn
2 1 1
Direct
0.0000 0.5000 0.0000 Hf
0.5000 0.0000 0.0000 Hf
0.0000 0.0000 0.5000 Tl
0.5000 0.5000 0.5000 Zn
```

=====

Compound: La3Pm3Dy
Source: the Alexandria database
Functional: PBE-GGA
Structure: relaxed

VASP energy = -4.5813 eV per atom
E above lowest polymorph = 192 meV per atom
space group = No. 148

```
La3Pm3Dy
1.0
4.4490 2.5687 7.3215
-4.4490 2.5687 7.3215
0.0000 -5.1373 7.3215
La Pm Dy
6 6 2
Direct
0.0598 0.8100 0.3014 La
0.1900 0.6986 0.9402 La
0.3014 0.0598 0.8100 La
0.6986 0.9402 0.1900 La
0.8100 0.3014 0.0598 La
0.9402 0.1900 0.6986 La
0.0651 0.5681 0.7243 Pm
0.2757 0.9349 0.4319 Pm
0.4319 0.2757 0.9349 Pm
0.5681 0.7243 0.0651 Pm
0.7243 0.0651 0.5681 Pm
0.9349 0.4319 0.2757 Pm
0.3503 0.3503 0.3503 Dy
0.6497 0.6497 0.6497 Dy
```

=====

Compound: Tm2Co3Tc
Source: the Alexandria database
Functional: PBE-GGA
Structure: relaxed

VASP energy = -6.9999 eV per atom
space group = No. 194

```
Tm2Co3Tc
1.0
5.1423 0.0000 0.0000
-2.5712 4.4534 0.0000
0.0000 0.0000 8.1210
Tm Co Tc
4 6 2
Direct
0.3333 0.6667 0.0634 Tm
0.3333 0.6667 0.4366 Tm
0.6667 0.3333 0.5634 Tm
0.6667 0.3333 0.9366 Tm
0.1687 0.3375 0.7500 Co
0.1687 0.8313 0.7500 Co
0.3375 0.1687 0.2500 Co
0.6625 0.8313 0.7500 Co
0.8313 0.1687 0.2500 Co
0.8313 0.6625 0.2500 Co
0.0000 0.0000 0.0000 Tc
0.0000 0.0000 0.5000 Tc
```

=====

Compound: Hf2HgRuSe
Source: the Alexandria database
Functional: PBE-GGA
Structure: relaxed

raw formation energy = 0.300 eV/atom
VASP energy = -6.2937 eV per atom
space group = No. 123

```
Hf2HgRuSe
1.0
5.0019 0.0000 0.0000
0.0000 5.0019 0.0000
0.0000 0.0000 4.7191
Hf Hg Ru Se
2 1 1 1
Direct
0.0000 0.5000 0.0000 Hf
0.5000 0.0000 0.0000 Hf
0.0000 0.0000 0.5000 Hg
0.5000 0.5000 0.0000 Ru
0.5000 0.5000 0.5000 Se
```

=====

Compound: CaReTc3
Source: the Alexandria database
Functional: PBE-GGA
Structure: relaxed

VASP energy = -7.9636 eV per atom
E above lowest polymorph = 0 meV per atom
space group = No. 221

```
CaReTc3
1.0
4.7653 0.0000 0.0000
0.0000 4.7653 0.0000
0.0000 0.0000 4.7653
Ca Re Tc
1 1 3
Direct
0.0000 0.0000 0.0000 Ca
0.5000 0.5000 0.5000 Re
0.0000 0.5000 0.5000 Tc
0.5000 0.0000 0.5000 Tc
0.5000 0.5000 0.0000 Tc
```

=====

Compound: Nd5Y2Ho5
Source: the Alexandria database
Functional: PBE-GGA
Structure: relaxed

VASP energy = -4.9525 eV per atom
space group = No. 12

```
Nd5Y2Ho5
1.0
7.6237 -2.5402 0.0000
7.6237 2.5402 0.0000
-5.0980 0.0000 10.2049
Nd Y Ho
5 2 5
Direct
0.0000 0.0000 0.0000 Nd
0.0849 0.0849 0.7508 Nd
0.1657 0.1657 0.4997 Nd
0.8343 0.8343 0.5003 Nd
0.9151 0.9151 0.2492 Nd
0.4167 0.4167 0.7517 Y
0.5833 0.5833 0.2483 Y
0.2493 0.2493 0.2476 Ho
0.3318 0.3318 0.9988 Ho
0.5000 0.5000 0.5000 Ho
0.6682 0.6682 0.0012 Ho
0.7507 0.7507 0.7524 Ho
```

=====

Compound: NaZr2GeW
Source: the Alexandria database
Functional: PBE-GGA
Structure: relaxed

VASP energy = -5.3700 eV per atom
space group = No. 123

```
NaZr2GeW
1.0
4.8574 0.0000 0.0000
0.0000 4.8574 0.0000
0.0000 0.0000 4.6013
Na Zr Ge W
1 2 1 1
Direct
0.0000 0.0000 0.0000 Na
0.0000 0.5000 0.0000 Zr
0.5000 0.0000 0.0000 Zr
0.5000 0.5000 0.5000 Ge
0.0000 0.0000 0.5000 W
```

=====

Repeat the fourth record exactly.
Compound: ZnPtI3
Source: the Alexandria database
Functional: PBE-GGA
Structure: relaxed

raw formation energy = 0.735 eV/atom
VASP energy = -1.6585 eV per atom
E above lowest polymorph = 526 meV per atom
space group = No. 221

```
ZnPtI3
1.0
5.4874 0.0000 0.0000
0.0000 5.4874 0.0000
0.0000 0.0000 5.4874
Zn Pt I
1 1 3
Direct
0.0000 0.0000 0.0000 Zn
0.5000 0.5000 0.5000 Pt
0.0000 0.0000 0.5000 I
0.0000 0.5000 0.0000 I
0.5000 0.0000 0.0000 I
```